# 1
Compound: CdSb2Pb
Source: Alexandria
Functional: PBEsol
Structure: relaxed

a b c (Å): 3.2733 3.2733 9.7480
angles (deg): 90.00 90.00 90.00
With the nearest neighbours (Å) after each atom.
Space group P4mm (No. 99)
Inequivalent atoms, fractional coordinates:
Cd  0.0000  0.0000  0.0000 [1 per cell]  4 Sb 3.22, 4 Cd 3.27, 4 Pb 3.30
Sb  0.0000  0.0000  0.5103 [1 per cell]  8 Sb 3.27-3.44, 4 Pb 3.50
Sb  0.5000  0.5000  0.7711 [1 per cell]  4 Cd 3.22, 8 Sb 3.27-3.44
Pb  0.5000  0.5000  0.2416 [1 per cell]  4 Pb 3.27, 4 Cd 3.30, 4 Sb 3.50

Output
The value obtained for the formation energy without anion corrections is 0.15 eV/atom. As for the magnetic moment: 0.00 μB per formula unit.

=====

# 2
Compound: Cd2Sb2Pb
Source: Alexandria
Functional: PBEsol
Structure: relaxed

a b c (Å): 4.2892 4.2892 14.7483
angles (deg): 90.00 90.00 90.00
With the nearest neighbours (Å) after each atom.
Space group I4/mmm (No. 139)
Inequivalent atoms, fractional coordinates:
Cd  0.0000  0.5000  0.2500 [4 per cell]  4 Sb 2.97, 4 Cd 3.03
Sb  0.0000  0.0000  0.1104 [4 per cell]  4 Cd 2.97, 1 Sb 3.26
Pb  0.0000  0.0000  0.5000 [2 per cell]  8 Sb 3.44

Output
The value obtained for the formation energy without anion corrections is 0.07 eV/atom. As for the magnetic moment: 0.00 μB per formula unit.

=====

# 3
Compound: Cd2SbPb2
Source: Alexandria
Functional: PBEsol
Structure: relaxed

a b c (Å): 7.7221 7.7221 4.4950
angles (deg): 90.00 90.00 90.00
With the nearest neighbours (Å) after each atom.
Space group P4/mbm (No. 127)
Inequivalent atoms, fractional coordinates:
Cd  0.1297  0.3703  0.0000 [4 per cell]  1 Cd 2.83, 2 Sb 3.03, 2 Pb 3.10
Sb  0.0000  0.0000  0.0000 [2 per cell]  4 Cd 3.03
Pb  0.1751  0.6751  0.5000 [4 per cell]  6 Cd 3.10-3.27

Output
The value obtained for the formation energy without anion corrections is 0.09 eV/atom. As for the magnetic moment: 0.00 μB per formula unit.

=====

# 4
Compound: CdSbPb2
Source: Alexandria
Functional: PBEsol
Structure: relaxed

a b c (Å): 3.9289 3.9289 7.0640
angles (deg): 90.00 90.00 90.00
With the nearest neighbours (Å) after each atom.
Space group P4mm (No. 99)
Inequivalent atoms, fractional coordinates:
Cd  0.0000  0.0000  0.0000 [1 per cell]  4 Sb 3.19, 5 Pb 3.23-3.26
Sb  0.5000  0.5000  0.7790 [1 per cell]  4 Cd 3.19, 5 Pb 3.20-3.26
Pb  0.0000  0.0000  0.5384 [1 per cell]  4 Sb 3.26, 1 Cd 3.26, 4 Pb 3.52
Pb  0.5000  0.5000  0.2320 [1 per cell]  1 Sb 3.20, 4 Cd 3.23, 4 Pb 3.52

Output
The value obtained for the formation energy without anion corrections is 0.06 eV/atom. As for the magnetic moment: 0.00 μB per formula unit.

=====

formation energy without anion corrections of number 3 (Cd2SbPb2)?
0.09 eV/atom

=====

Which of these has the highest formation energy without anion corrections?
CdSb2Pb